## MnCo2Pt2 (GGA-PBE)

Data for an optimized crystal structure of MnCo2Pt2.

Properties
M_tot, μB/atom: 0.83
SG: P4/mbm
D(E_F), states/eV per cell: 17.023
Calculated volume, Å³ per atom: 13.95
Crystal system: tetragonal
Energy relative to the elements, meV per atom: 367
Energy above the most stable polymorph in this dataset, meV per atom: 273

```
data_MnCo2Pt2
_space_group_name_H-M_alt 'P 1'
_space_group_IT_number 1
_space_group_name_Hall 'P 1'
_cell_length_a 7.220
_cell_length_b 7.220
_cell_length_c 2.677
_cell_angle_alpha 90.00
_cell_angle_beta 90.00
_cell_angle_gamma 90.00
loop_
_atom_site_label
_atom_site_type_symbol
_atom_site_fract_x
_atom_site_fract_y
_atom_site_fract_z
Mn1 Mn 0.000 0.000 0.000
Mn2 Mn 0.500 0.500 0.000
Co1 Co 0.163 0.663 0.500
Co2 Co 0.663 0.837 0.500
Co3 Co 0.837 0.337 0.500
Co4 Co 0.337 0.163 0.500
Pt1 Pt 0.364 0.864 0.000
Pt2 Pt 0.864 0.636 0.000
Pt3 Pt 0.636 0.136 0.000
Pt4 Pt 0.136 0.364 0.000
```